(1)
## TlTeRh2 (PBE)

Data for a relaxed TlTeRh2 crystal.

The structure belongs to space group P4/mmm (No. 123); the cell edges are 3.299, 3.299 and 6.849 Å and the angles 90.00°, 90.00° and 90.00°. The inequivalent atoms are Tl at (0.000, 0.000, 0.000), Te at (0.000, 0.000, 0.500) and Rh at (0.500, 0.500, 0.267).

The density comes out at 12.0 g cm⁻³. The calculation puts the energy above the most stable polymorph in this dataset at 0.082 eV/atom. As for the magnetic moment: 0.00 μB/f.u. As for the formation energy (no corrections): 0.07 eV per atom.

---

(2)
## TaCrPt2 (PBE)

Data for a relaxed TaCrPt2 crystal.

The structure belongs to space group P4mm (No. 99); the cell edges are 2.757, 2.757 and 8.045 Å and the angles 90.00°, 90.00° and 90.00°. The inequivalent atoms are Ta at (0.000, 0.000, 0.000), Cr at (0.500, 0.500, 0.259), Pt at (0.000, 0.000, 0.473) and Pt at (0.500, 0.500, 0.746).

As for the formation energy: -0.26 eV per atom. The density comes out at 16.9 g cm⁻³. The calculation puts the energy above the most stable polymorph in this dataset at 0.238 eV/atom. As for the magnetic moment: 0.00 μB/f.u.